No. 1
This record from the Alexandria database describes an optimized crystal structure of Li2MnFe3O8. The functional is GGA+U.

Lattice parameters (Å, degrees): 5.780 5.780 5.780 60.25 60.25 60.25
Fractional positions:
O 0.264 0.711 0.264
O 0.736 0.736 0.289
O 0.289 0.736 0.736
O 0.264 0.264 0.711
O 0.711 0.264 0.264
O 0.736 0.289 0.736
O 0.736 0.736 0.736
O 0.264 0.264 0.264
Li 0.126 0.126 0.126
Li 0.874 0.874 0.874
Mn 0.500 0.500 0.500
Fe 0.500 0.000 0.500
Fe 0.000 0.500 0.500
Fe 0.500 0.500 0.000

Output
Fermi-level density of states   2.7 states/eV/cell
Distance to the lowest polymorph of the same formula   0.231 eV per atom

No. 2
This record from the Alexandria database describes an optimized crystal structure of Li3Mn4Fe2O12. The functional is GGA+U.

Lattice parameters (Å, degrees): 5.932 5.928 14.470 91.14 89.90 119.35
Fractional positions:
O 0.706 0.850 0.913
O 0.156 0.291 0.916
O 0.844 0.709 0.084
O 0.446 0.478 0.252
O 0.670 0.351 0.901
O 0.011 0.993 0.765
O 0.471 0.944 0.253
O 0.614 0.794 0.416
O 0.674 0.339 0.432
O 0.157 0.358 0.417
O 0.023 0.502 0.246
O 0.294 0.150 0.087
O 0.168 0.801 0.420
O 0.832 0.199 0.580
O 0.529 0.056 0.747
O 0.977 0.498 0.754
O 0.386 0.206 0.584
O 0.131 0.827 0.919
O 0.989 0.007 0.235
O 0.326 0.661 0.568
O 0.843 0.642 0.583
O 0.869 0.173 0.081
O 0.554 0.522 0.748
O 0.330 0.649 0.099
Fe 0.500 0.500 0.500
Fe 0.500 0.000 0.500
Fe 0.159 0.827 0.167
Fe 0.841 0.173 0.833
Mn 0.842 0.673 0.834
Mn 0.000 0.500 0.500
Mn 0.000 0.000 0.000
Mn 0.659 0.828 0.168
Mn 0.315 0.646 0.334
Mn 0.158 0.327 0.166
Mn 0.685 0.354 0.666
Mn 0.341 0.172 0.832
Li 0.669 0.347 0.037
Li 0.344 0.684 0.704
Li 0.656 0.316 0.296
Li 0.331 0.653 0.963
Li 0.019 0.011 0.628
Li 0.981 0.989 0.372

Output
Energy   -280.74 eV/cell

No. 3
This record from the Alexandria database describes an optimized crystal structure of Li8Mn13Fe3O32. The functional is GGA+U.

Lattice parameters (Å, degrees): 8.325 8.612 10.084 114.67 114.26 89.27
Fractional positions:
O 0.018 0.771 0.510
O 0.631 0.591 0.738
O 0.491 0.268 0.986
O 0.526 0.253 0.515
O 0.401 0.387 0.764
O 0.385 0.848 0.235
O 0.899 0.888 0.764
O 0.255 0.521 0.487
O 0.509 0.732 0.014
O 0.241 0.987 0.513
O 0.982 0.229 0.490
O 0.730 0.478 0.990
O 0.745 0.479 0.513
O 0.599 0.613 0.236
O 0.270 0.522 0.010
O 0.474 0.747 0.485
O 0.129 0.095 0.738
O 0.993 0.767 0.984
O 0.149 0.640 0.263
O 0.114 0.653 0.760
O 0.615 0.152 0.765
O 0.101 0.112 0.236
O 0.886 0.347 0.240
O 0.871 0.905 0.262
O 0.653 0.138 0.267
O 0.347 0.862 0.733
O 0.228 0.979 0.987
O 0.851 0.360 0.737
O 0.759 0.013 0.487
O 0.772 0.021 0.013
O 0.007 0.233 0.016
O 0.369 0.409 0.262
Fe 0.251 0.751 0.998
Fe 0.000 0.000 0.500
Fe 0.749 0.249 0.002
Mn 0.500 0.500 0.000
Mn 0.752 0.245 0.502
Mn 0.374 0.630 0.250
Mn 0.874 0.624 0.751
Mn 0.500 0.500 0.500
Mn 0.126 0.376 0.249
Mn 0.248 0.755 0.498
Mn 0.626 0.370 0.750
Mn 0.878 0.125 0.253
Mn 0.122 0.875 0.747
Mn 0.000 0.000 0.000
Mn 0.371 0.127 0.751
Mn 0.629 0.873 0.249
Li 0.189 0.448 0.625
Li 0.313 0.049 0.375
Li 0.934 0.698 0.123
Li 0.811 0.552 0.375
Li 0.066 0.302 0.877
Li 0.436 0.198 0.127
Li 0.564 0.802 0.873
Li 0.687 0.951 0.625

Output
Energy   -377.34 eV/cell

No. 4
This record from the Alexandria database describes an optimized crystal structure of Li2MnFe3O8. The functional is GGA+U.

Lattice parameters (Å, degrees): 5.921 5.921 6.003 59.78 59.78 58.51
Fractional positions:
Mn 0.000 0.000 0.000
O 0.272 0.272 0.200
O 0.256 0.753 0.784
O 0.728 0.728 0.800
O 0.772 0.772 0.202
O 0.744 0.247 0.216
O 0.228 0.228 0.798
O 0.247 0.744 0.216
O 0.753 0.256 0.784
Fe 0.500 0.500 0.000
Fe 0.500 0.000 0.000
Fe 0.000 0.500 0.000
Li 0.500 0.000 0.500
Li 0.000 0.500 0.500

Output
Distance to the lowest polymorph of the same formula   0.155 eV per atom

No. 5
This record from the Alexandria database describes an optimized crystal structure of Li8MnFe7P8O32. The functional is GGA+U.

Lattice parameters (Å, degrees): 12.163 4.752 10.404 89.73 90.00 90.00
Fractional positions:
Fe 0.250 0.026 0.282
Fe 0.750 0.026 0.282
Fe 0.750 0.475 0.780
Fe 0.500 0.527 0.220
Fe 0.000 0.968 0.719
Fe 0.000 0.525 0.220
Fe 0.250 0.475 0.780
O 0.250 0.261 0.097
O 0.250 0.709 0.956
O 0.899 0.284 0.833
O 0.000 0.299 0.042
O 0.648 0.781 0.664
O 0.250 0.791 0.456
O 0.250 0.239 0.596
O 0.750 0.261 0.097
O 0.500 0.758 0.404
O 0.601 0.216 0.336
O 0.750 0.709 0.956
O 0.500 0.295 0.044
O 0.148 0.717 0.165
O 0.852 0.717 0.165
O 0.399 0.216 0.336
O 0.899 0.215 0.337
O 0.351 0.717 0.165
O 0.000 0.743 0.897
O 0.852 0.782 0.665
O 0.101 0.284 0.833
O 0.649 0.717 0.165
O 0.148 0.782 0.665
O 0.750 0.239 0.596
O 0.101 0.215 0.337
O 0.398 0.286 0.835
O 0.000 0.199 0.547
O 0.750 0.791 0.456
O 0.352 0.781 0.664
O 0.500 0.743 0.902
O 0.000 0.756 0.404
O 0.500 0.204 0.546
O 0.602 0.286 0.835
Mn 0.500 0.978 0.723
P 0.250 0.584 0.094
P 0.500 0.419 0.906
P 0.750 0.584 0.094
P 0.750 0.916 0.594
P 0.500 0.082 0.407
P 0.000 0.419 0.903
P 0.000 0.079 0.408
P 0.250 0.916 0.594
Li 0.126 0.497 0.501
Li 0.374 0.003 0.001
Li 0.874 0.003 0.998
Li 0.126 0.003 0.998
Li 0.375 0.500 0.501
Li 0.874 0.497 0.501
Li 0.626 0.003 0.001
Li 0.625 0.500 0.501

Output
Fermi-level density of states   0.0 states/eV/cell
Energy   -380.12 eV/cell

No. 6
This record from the Alexandria database describes an optimized crystal structure of Li4Mn3FeP4O16. The functional is GGA+U.

Lattice parameters (Å, degrees): 7.788 7.788 10.560 90.06 90.05 104.20
Fractional positions:
O 0.112 0.161 0.837
O 0.981 0.731 0.957
O 0.757 0.007 0.405
O 0.385 0.337 0.162
O 0.414 0.864 0.838
O 0.380 0.835 0.338
O 0.085 0.130 0.339
O 0.888 0.839 0.163
O 0.620 0.165 0.662
O 0.239 0.489 0.902
O 0.615 0.663 0.838
O 0.089 0.638 0.163
O 0.743 0.493 0.595
O 0.480 0.230 0.956
O 0.479 0.731 0.544
O 0.258 0.008 0.097
O 0.886 0.334 0.339
O 0.521 0.269 0.456
O 0.584 0.636 0.338
O 0.019 0.269 0.043
O 0.114 0.666 0.661
O 0.416 0.364 0.662
O 0.520 0.770 0.044
O 0.981 0.229 0.545
O 0.761 0.511 0.098
O 0.915 0.870 0.661
O 0.911 0.362 0.837
O 0.257 0.507 0.405
O 0.243 0.993 0.595
O 0.586 0.136 0.162
O 0.019 0.771 0.455
O 0.742 0.992 0.903
Li 0.749 0.248 0.998
Li 0.251 0.752 0.002
Li 0.250 0.248 0.501
Li 0.750 0.752 0.499
Li 0.000 0.500 0.500
Li 0.500 0.500 0.000
Li 0.500 0.000 0.500
Li 0.000 0.000 0.000
P 0.581 0.831 0.907
P 0.078 0.328 0.906
P 0.922 0.672 0.094
P 0.081 0.833 0.591
P 0.416 0.669 0.408
P 0.919 0.167 0.409
P 0.584 0.331 0.592
P 0.419 0.169 0.093
Mn 0.362 0.612 0.719
Mn 0.363 0.113 0.781
Mn 0.638 0.388 0.281
Mn 0.864 0.614 0.781
Mn 0.136 0.386 0.219
Mn 0.637 0.887 0.219
Fe 0.861 0.111 0.718
Fe 0.139 0.889 0.282

Output
Fermi-level density of states   0.0 states/eV/cell
Distance to the lowest polymorph of the same formula   0.000 eV per atom

No. 7
This record from the Alexandria database describes an optimized crystal structure of LiMn2Fe2P4O16. The functional is GGA+U.

Lattice parameters (Å, degrees): 5.940 4.953 10.119 90.01 90.00 90.00
Fractional positions:
O 0.500 0.785 0.379
O 0.500 0.373 0.056
O 0.000 0.844 0.440
O 0.799 0.736 0.179
O 0.000 0.680 0.958
O 0.500 0.153 0.552
O 0.201 0.779 0.661
O 0.702 0.236 0.330
O 0.711 0.238 0.847
O 0.000 0.286 0.119
O 0.799 0.779 0.661
O 0.289 0.238 0.847
O 0.000 0.227 0.604
O 0.201 0.736 0.179
O 0.298 0.236 0.330
O 0.500 0.690 0.863
Li 0.000 0.073 0.947
P 0.500 0.089 0.403
P 0.000 0.926 0.588
P 0.500 0.388 0.903
P 0.000 0.597 0.103
Mn 0.500 0.921 0.708
Mn 0.000 0.477 0.766
Fe 0.000 0.042 0.280
Fe 0.500 0.540 0.228

Output
Fermi-level density of states   0.6 states/eV/cell
Distance to the lowest polymorph of the same formula   0.000 eV per atom

No. 8
This record from the Alexandria database describes an optimized crystal structure of Li2MnFeP2O8. The functional is GGA+U.

Lattice parameters (Å, degrees): 4.774 10.525 6.124 90.00 90.00 89.82
Fractional positions:
O 0.274 0.164 0.452
O 0.760 0.594 0.250
O 0.269 0.901 0.750
O 0.213 0.662 0.048
O 0.290 0.958 0.250
O 0.710 0.042 0.750
O 0.213 0.662 0.452
O 0.726 0.836 0.952
O 0.240 0.406 0.750
O 0.726 0.836 0.548
O 0.787 0.338 0.952
O 0.208 0.455 0.250
O 0.787 0.338 0.548
O 0.274 0.164 0.048
O 0.792 0.545 0.750
O 0.731 0.099 0.250
Li 0.000 0.000 0.000
Li 0.500 0.500 0.000
Li 0.000 0.000 0.500
Li 0.500 0.500 0.500
P 0.591 0.905 0.750
P 0.918 0.409 0.750
P 0.409 0.095 0.250
P 0.082 0.591 0.250
Fe 0.971 0.282 0.250
Fe 0.029 0.718 0.750
Mn 0.522 0.781 0.250
Mn 0.478 0.219 0.750

Output
Fermi-level density of states   0.0 states/eV/cell
Distance to the lowest polymorph of the same formula   0.000 eV per atom

No. 9
This record from the Alexandria database describes an optimized crystal structure of LiMn2Fe2P4O16. The functional is GGA+U.

Lattice parameters (Å, degrees): 5.982 4.973 9.923 89.37 90.00 90.00
Fractional positions:
P 0.000 0.923 0.409
P 0.000 0.595 0.900
P 0.500 0.378 0.094
P 0.500 0.097 0.597
O 0.500 0.674 0.133
O 0.295 0.220 0.157
O 0.202 0.734 0.828
O 0.500 0.347 0.939
O 0.299 0.239 0.669
O 0.000 0.664 0.050
O 0.797 0.782 0.338
O 0.705 0.220 0.157
O 0.000 0.284 0.883
O 0.000 0.226 0.393
O 0.500 0.152 0.445
O 0.203 0.782 0.338
O 0.000 0.848 0.561
O 0.798 0.734 0.828
O 0.500 0.789 0.622
O 0.701 0.239 0.669
Fe 0.000 0.478 0.238
Fe 0.500 0.943 0.278
Li 0.000 0.065 0.057
Mn 0.500 0.575 0.782
Mn 0.000 0.081 0.711

Output
Fermi-level density of states   0.2 states/eV/cell
Distance to the lowest polymorph of the same formula   0.010 eV per atom

No. 10
This record from the Alexandria database describes an optimized crystal structure of Li2MnFeP2O8. The functional is GGA+U.

Lattice parameters (Å, degrees): 4.773 10.524 6.125 90.00 90.00 90.00
Fractional positions:
O 0.210 0.455 0.250
O 0.290 0.955 0.250
O 0.712 0.836 0.548
O 0.768 0.598 0.250
O 0.712 0.836 0.952
O 0.788 0.336 0.548
O 0.274 0.163 0.049
O 0.274 0.163 0.451
O 0.226 0.663 0.451
O 0.732 0.098 0.250
O 0.241 0.405 0.750
O 0.708 0.043 0.750
O 0.788 0.336 0.952
O 0.259 0.905 0.750
O 0.226 0.663 0.049
O 0.792 0.543 0.750
P 0.409 0.093 0.250
P 0.091 0.593 0.250
P 0.581 0.907 0.750
P 0.919 0.407 0.750
Mn 0.024 0.719 0.750
Mn 0.476 0.219 0.750
Fe 0.974 0.281 0.250
Fe 0.526 0.781 0.250
Li 0.504 0.501 0.002
Li 0.996 0.001 0.002
Li 0.996 0.001 0.498
Li 0.504 0.501 0.498

Output
Fermi-level density of states   0.0 states/eV/cell
Distance to the lowest polymorph of the same formula   0.000 eV per atom